No. 1
A relaxed structure of Th4Co2Bi, computed with GGA-PBE.

## Properties
As for the formation energy: -0.3631 eV per atom. The density of states at the Fermi level is 12.60 states/eV/cell. The value obtained for the total energy is -7.188 eV per atom. As for the calculated density: 10.9 g/cm³. Its space-group type is No. 63.

a b c (Å): 6.7008 6.7008 13.8866
angles (deg): 90.00 90.00 142.33
With the nearest neighbours (Å) after each atom.
Sites, in units of the cell vectors:
Th (0.0000, 0.0000, 0.0000)  4 Co 2.80
Th (0.0000, 0.0000, 0.5000)  4 Co 2.80
Th (0.2653, 0.7346, 0.6043)  3 Co 2.64-2.87
Th (0.2653, 0.7346, 0.8957)  3 Co 2.64-2.87
Th (0.4098, 0.5902, 0.2500)  2 Co 2.71
Th (0.5902, 0.4098, 0.7500)  2 Co 2.71
Th (0.7346, 0.2653, 0.1043)  3 Co 2.64-2.87
Th (0.7346, 0.2653, 0.3957)  3 Co 2.64-2.87
Co (0.3748, 0.6252, 0.0573)  6 Th 2.64-2.87
Co (0.3748, 0.6252, 0.4427)  6 Th 2.64-2.87
Co (0.6252, 0.3748, 0.5573)  6 Th 2.64-2.87
Co (0.6252, 0.3748, 0.9427)  6 Th 2.64-2.87
Bi (0.1084, 0.8916, 0.2500)  6 Th 3.32-3.37
Bi (0.8916, 0.1084, 0.7500)  6 Th 3.32-3.37

---

No. 2
A relaxed structure of Th12Co6Bi, computed with GGA-PBE.

## Properties
As for the formation energy: -0.2420 eV per atom. The density of states at the Fermi level is 23.58 states/eV/cell. The value obtained for the total energy is -7.376 eV per atom. As for the calculated density: 11.1 g/cm³. Its space-group type is No. 204.

a b c (Å): 8.6575 8.6575 8.6575
angles (deg): 109.47 109.47 109.47
With the nearest neighbours (Å) after each atom.
Sites, in units of the cell vectors:
Th (0.1379, 0.8213, 0.3166)  3 Co 2.63-2.88
Th (0.1787, 0.3166, 0.4953)  3 Co 2.63-2.88
Th (0.1787, 0.6834, 0.8621)  3 Co 2.63-2.88
Th (0.3166, 0.1379, 0.8213)  3 Co 2.63-2.88
Th (0.3166, 0.4953, 0.1787)  3 Co 2.63-2.88
Th (0.4953, 0.1787, 0.3166)  3 Co 2.63-2.88
Th (0.5047, 0.8213, 0.6834)  3 Co 2.63-2.88
Th (0.6834, 0.5047, 0.8213)  3 Co 2.63-2.88
Th (0.6834, 0.8621, 0.1787)  3 Co 2.63-2.88
Th (0.8213, 0.3166, 0.1379)  3 Co 2.63-2.88
Th (0.8213, 0.6834, 0.5047)  3 Co 2.63-2.88
Th (0.8621, 0.1787, 0.6834)  3 Co 2.63-2.88
Co (0.1323, 0.6323, 0.5000)  6 Th 2.63-2.88, 1 Co 2.65
Co (0.3677, 0.5000, 0.8677)  6 Th 2.63-2.88, 1 Co 2.65
Co (0.5000, 0.1323, 0.6323)  6 Th 2.63-2.88, 1 Co 2.65
Co (0.5000, 0.8677, 0.3677)  6 Th 2.63-2.88, 1 Co 2.65
Co (0.6323, 0.5000, 0.1323)  6 Th 2.63-2.88, 1 Co 2.65
Co (0.8677, 0.3677, 0.5000)  6 Th 2.63-2.88, 1 Co 2.65
Bi (0.0000, 0.0000, 0.0000)  12 Th 3.63

---

No. 3
A relaxed structure of Th12Co5Bi, computed with GGA-PBE.

## Properties
As for the formation energy: -0.1830 eV per atom. The density of states at the Fermi level is 25.62 states/eV/cell. The value obtained for the total energy is -7.319 eV per atom. As for the calculated density: 11.4 g/cm³. Its space-group type is No. 71.

a b c (Å): 8.5514 8.5514 8.5514
angles (deg): 112.49 110.93 105.09
With the nearest neighbours (Å) after each atom.
Sites, in units of the cell vectors:
Th (0.0227, 0.2003, 0.8224)  2 Co 2.70-2.75
Th (0.1811, 0.3066, 0.4877)  2 Co 2.87
Th (0.1811, 0.6934, 0.8744)  2 Co 2.87
Th (0.3261, 0.0103, 0.6841)  3 Co 2.70-2.85
Th (0.3261, 0.6420, 0.3159)  3 Co 2.70-2.85
Th (0.3780, 0.2003, 0.1776)  2 Co 2.70-2.75
Th (0.6220, 0.7997, 0.8224)  2 Co 2.70-2.75
Th (0.6739, 0.3580, 0.6841)  3 Co 2.70-2.85
Th (0.6739, 0.9897, 0.3159)  3 Co 2.70-2.85
Th (0.8189, 0.3066, 0.1256)  2 Co 2.87
Th (0.8189, 0.6934, 0.5123)  2 Co 2.87
Th (0.9773, 0.7997, 0.1776)  2 Co 2.70-2.75
Co (0.0000, 0.0000, 0.0000)  4 Th 2.70
Co (0.1284, 0.6284, 0.5000)  1 Co 2.67, 6 Th 2.70-2.87
Co (0.3624, 0.0000, 0.3624)  1 Co 2.67, 6 Th 2.75-2.85
Co (0.6376, 0.0000, 0.6376)  1 Co 2.67, 6 Th 2.75-2.85
Co (0.8716, 0.3716, 0.5000)  1 Co 2.67, 6 Th 2.70-2.87
Bi (0.5000, 0.5000, 0.0000)  12 Th 3.50-3.60

---

No. 4
A relaxed structure of Ti3CoBi, computed with GGA-PBE.

## Properties
As for the formation energy: -0.1415 eV per atom. The density of states at the Fermi level is 17.45 states/eV/cell. The value obtained for the total energy is -7.076 eV per atom. As for the calculated density: 7.4 g/cm³. Its space-group type is No. 15. The energy relative to the lowest polymorph listed for this composition comes out at 5.86 kJ/mol of atoms.

a b c (Å): 8.5340 8.5340 5.2279
angles (deg): 96.12 96.12 101.37
With the nearest neighbours (Å) after each atom.
Sites, in units of the cell vectors:
Ti (0.1251, 0.6546, 0.9680)  5 Ti 2.81-3.12, 2 Co 2.85-2.86, 2 Bi 2.96-3.13
Ti (0.1696, 0.5311, 0.4406)  2 Co 2.35-2.37
Ti (0.2790, 0.3685, 0.9496)  2 Co 2.34-2.42
Ti (0.3454, 0.8749, 0.5320)  5 Ti 2.81-3.12, 2 Co 2.85-2.86, 2 Bi 2.96-3.13
Ti (0.3685, 0.2790, 0.4496)  2 Co 2.34-2.42
Ti (0.4689, 0.8304, 0.0594)  2 Co 2.35-2.37
Ti (0.5311, 0.1696, 0.9406)  2 Co 2.35-2.37
Ti (0.6315, 0.7210, 0.5504)  2 Co 2.34-2.42
Ti (0.6546, 0.1251, 0.4680)  5 Ti 2.81-3.12, 2 Co 2.85-2.86, 2 Bi 2.96-3.13
Ti (0.7210, 0.6315, 0.0504)  2 Co 2.34-2.42
Ti (0.8304, 0.4689, 0.5594)  2 Co 2.35-2.37
Ti (0.8749, 0.3454, 0.0320)  5 Ti 2.81-3.12, 2 Co 2.85-2.86, 2 Bi 2.96-3.13
Co (0.4037, 0.5963, 0.7500)  4 Ti 2.37-2.42, 3 Co 2.50-2.61
Co (0.4072, 0.5928, 0.2500)  4 Ti 2.34-2.35, 3 Co 2.50-2.61
Co (0.5928, 0.4072, 0.7500)  4 Ti 2.34-2.35, 3 Co 2.50-2.61
Co (0.5963, 0.4037, 0.2500)  4 Ti 2.37-2.42, 3 Co 2.50-2.61
Bi (0.0114, 0.2146, 0.5278)  7 Ti 2.88-3.18
Bi (0.2146, 0.0114, 0.0278)  7 Ti 2.88-3.18
Bi (0.7854, 0.9886, 0.9722)  7 Ti 2.88-3.18
Bi (0.9886, 0.7854, 0.4722)  7 Ti 2.88-3.18

---

No. 5
A relaxed structure of Ti8Co2Bi, computed with GGA-PBE.

## Properties
As for the formation energy: -0.1834 eV per atom. The density of states at the Fermi level is 13.71 states/eV/cell. The value obtained for the total energy is -7.570 eV per atom. As for the calculated density: 6.4 g/cm³. Its space-group type is No. 12. The energy relative to the lowest polymorph listed for this composition comes out at 0.00 kJ/mol of atoms.

a b c (Å): 7.5672 7.5672 6.9143
angles (deg): 117.08 117.08 31.72
With the nearest neighbours (Å) after each atom.
Sites, in units of the cell vectors:
Ti (0.0508, 0.0508, 0.2350)  1 Co 2.40
Ti (0.1851, 0.1851, 0.7921)  3 Co 2.43-2.63
Ti (0.3101, 0.3101, 0.5382)  1 Co 2.40, 2 Ti 2.60
Ti (0.4070, 0.4070, 0.0225)  2 Co 2.49
Ti (0.5930, 0.5930, 0.9775)  2 Co 2.49
Ti (0.6899, 0.6899, 0.4618)  1 Co 2.40, 2 Ti 2.60
Ti (0.8149, 0.8149, 0.2079)  3 Co 2.43-2.63
Ti (0.9492, 0.9492, 0.7650)  1 Co 2.40
Co (0.1929, 0.1929, 0.1508)  7 Ti 2.40-2.63
Co (0.8071, 0.8071, 0.8492)  7 Ti 2.40-2.63
Bi (0.5000, 0.5000, 0.5000)  12 Ti 2.90-3.24

---

No. 6
A relaxed structure of TiCo2Bi, computed with GGA-PBE.

## Properties
As for the formation energy: 0.4440 eV per atom. The density of states at the Fermi level is 9.18 states/eV/cell. The value obtained for the total energy is -6.053 eV per atom. As for the calculated density: 8.8 g/cm³. Its space-group type is No. 122.

a b c (Å): 8.8864 8.8864 8.8864
angles (deg): 153.33 153.33 38.07
With the nearest neighbours (Å) after each atom.
Sites, in units of the cell vectors:
Ti (0.0000, 0.0000, 0.0000)  4 Co 2.45
Ti (0.7500, 0.2500, 0.5000)  4 Co 2.45
Co (0.0514, 0.6250, 0.9264)  2 Ti 2.45, 2 Co 2.51, 2 Bi 2.69
Co (0.3750, 0.3014, 0.4264)  2 Ti 2.45, 2 Co 2.51, 2 Bi 2.69
Co (0.6986, 0.1250, 0.0736)  2 Ti 2.45, 2 Co 2.51, 2 Bi 2.69
Co (0.8750, 0.9486, 0.5736)  2 Ti 2.45, 2 Co 2.51, 2 Bi 2.69
Bi (0.2500, 0.7500, 0.5000)  4 Co 2.69, 4 Ti 2.90
Bi (0.5000, 0.5000, 0.0000)  4 Co 2.69, 4 Ti 2.90

---

No. 7
A relaxed structure of Ti2Co2Bi, computed with GGA-PBE.

## Properties
As for the formation energy: -0.1240 eV per atom. The density of states at the Fermi level is 3.57 states/eV/cell. The value obtained for the total energy is -6.901 eV per atom. As for the calculated density: 8.4 g/cm³. Its space-group type is No. 139. The energy relative to the lowest polymorph listed for this composition comes out at 4.54 kJ/mol of atoms.

a b c (Å): 5.7655 5.7655 5.7655
angles (deg): 138.53 138.53 60.09
With the nearest neighbours (Å) after each atom.
Sites, in units of the cell vectors:
Ti (0.2500, 0.7500, 0.5000)  4 Co 2.44
Ti (0.7500, 0.2500, 0.5000)  4 Co 2.44
Co (0.1168, 0.1168, 0.0000)  1 Co 2.33, 4 Ti 2.44
Co (0.8832, 0.8832, 0.0000)  1 Co 2.33, 4 Ti 2.44
Bi (0.5000, 0.5000, 0.0000)  8 Co 3.11, 8 Ti 3.22

---

No. 8
A relaxed structure of Ti4CoBi2, computed with GGA-PBE.

## Properties
As for the formation energy: -0.3154 eV per atom. The density of states at the Fermi level is 11.07 states/eV/cell. The value obtained for the total energy is -6.951 eV per atom. As for the calculated density: 8.1 g/cm³. Its space-group type is No. 140.

a b c (Å): 7.8717 7.8717 7.8717
angles (deg): 95.49 95.49 143.97
With the nearest neighbours (Å) after each atom.
Sites, in units of the cell vectors:
Ti (0.0804, 0.8069, 0.8873)  2 Co 2.53
Ti (0.1931, 0.0804, 0.2735)  2 Co 2.53
Ti (0.3069, 0.5804, 0.8873)  2 Co 2.53
Ti (0.4196, 0.3069, 0.7265)  2 Co 2.53
Ti (0.5804, 0.6931, 0.2735)  2 Co 2.53
Ti (0.6931, 0.4196, 0.1127)  2 Co 2.53
Ti (0.8069, 0.9196, 0.7265)  2 Co 2.53
Ti (0.9196, 0.1931, 0.1127)  2 Co 2.53
Co (0.2500, 0.2500, 0.0000)  2 Co 2.43, 8 Ti 2.53
Co (0.7500, 0.7500, 0.0000)  2 Co 2.43, 8 Ti 2.53
Bi (0.1392, 0.3608, 0.5000)  8 Ti 2.92-3.08
Bi (0.3608, 0.8608, 0.2217)  8 Ti 2.92-3.08
Bi (0.6392, 0.1392, 0.7783)  8 Ti 2.92-3.08
Bi (0.8608, 0.6392, 0.5000)  8 Ti 2.92-3.08

---

No. 9
A relaxed structure of Ti2Co2Bi, computed with GGA-PBE.

## Properties
As for the formation energy: -0.1711 eV per atom. The density of states at the Fermi level is 8.23 states/eV/cell. The value obtained for the total energy is -6.948 eV per atom. As for the calculated density: 9.0 g/cm³. Its space-group type is No. 127. The energy relative to the lowest polymorph listed for this composition comes out at 0.00 kJ/mol of atoms.

a b c (Å): 7.1364 7.1364 3.0754
angles (deg): 90.00 90.00 90.00
With the nearest neighbours (Å) after each atom.
Sites, in units of the cell vectors:
Ti (0.1533, 0.3467, 0.0000)  6 Co 2.53-2.70
Ti (0.3467, 0.8467, 0.0000)  6 Co 2.53-2.70
Ti (0.6533, 0.1533, 0.0000)  6 Co 2.53-2.70
Ti (0.8467, 0.6533, 0.0000)  6 Co 2.53-2.70
Co (0.1269, 0.6269, 0.5000)  6 Ti 2.53-2.70, 1 Co 2.56, 2 Bi 2.81
Co (0.3731, 0.1269, 0.5000)  6 Ti 2.53-2.70, 1 Co 2.56, 2 Bi 2.81
Co (0.6269, 0.8731, 0.5000)  6 Ti 2.53-2.70, 1 Co 2.56, 2 Bi 2.81
Co (0.8731, 0.3731, 0.5000)  6 Ti 2.53-2.70, 1 Co 2.56, 2 Bi 2.81
Bi (0.0000, 0.0000, 0.5000)  4 Co 2.81, 2 Bi 3.08, 8 Ti 3.11
Bi (0.5000, 0.5000, 0.5000)  4 Co 2.81, 2 Bi 3.08, 8 Ti 3.11

---

No. 10
A relaxed structure of Ti2Co2Bi, computed with GGA-PBE.

## Properties
As for the formation energy: 0.0149 eV per atom. The density of states at the Fermi level is 5.37 states/eV/cell. The value obtained for the total energy is -6.762 eV per atom. As for the calculated density: 7.9 g/cm³. Its space-group type is No. 139. The energy relative to the lowest polymorph listed for this composition comes out at 17.94 kJ/mol of atoms.

a b c (Å): 7.8145 7.8145 7.8145
angles (deg): 154.41 154.41 36.50
With the nearest neighbours (Å) after each atom.
Sites, in units of the cell vectors:
Ti (0.1387, 0.1387, 0.0000)  4 Co 2.39
Ti (0.8613, 0.8613, 0.0000)  4 Co 2.39
Co (0.2500, 0.7500, 0.5000)  4 Ti 2.39, 4 Co 2.45
Co (0.7500, 0.2500, 0.5000)  4 Ti 2.39, 4 Co 2.45
Bi (0.5000, 0.5000, 0.0000)  8 Ti 3.20, 4 Bi 3.46